1.
Tl2Ag2Te after structural relaxation. Source: Alexandria, functional PBE.

Calculated values
Formation energy from raw total energies: 0.161 eV/atom
Density: 9.303 g/cm3
E above lowest polymorph: 181 meV/atom

a = 4.483 Å, b = 4.483 Å, c = 13.357 Å
α = 90.00°, β = 90.00°, γ = 90.00°
Space group I4/mmm (No. 139)
Asymmetric unit:
Tl1 0.000 0.500 0.250
Ag1 0.000 0.000 0.100
Te1 0.000 0.000 0.500

2.
Tl4AgTe3 after structural relaxation. Source: Alexandria, functional PBE.

Calculated values
Formation energy from raw total energies: -0.247 eV/atom
Density: 8.468 g/cm3

a = 12.808 Å, b = 12.808 Å, c = 6.255 Å
α = 90.00°, β = 90.00°, γ = 90.00°
Space group I4/mcm (No. 140)
Asymmetric unit:
Tl1 0.087 0.227 0.000
Ag1 0.000 0.500 0.250
Te1 0.000 0.000 0.250
Te2 0.138 0.362 0.500

3.
TlAg5Te6 after structural relaxation. Source: Alexandria, functional PBE.

Calculated values
Formation energy from raw total energies: -0.023 eV/atom
Density: 7.570 g/cm3

a = 7.765 Å, b = 12.658 Å, c = 7.272 Å
α = 90.00°, β = 112.12°, γ = 90.00°
Space group C2/m (No. 12)
Asymmetric unit:
Tl1 0.000 0.000 0.000
Ag1 0.000 0.161 0.500
Ag2 0.000 0.327 0.000
Ag3 0.000 0.500 0.500
Te1 0.190 0.324 0.751
Te2 0.239 0.000 0.710

4.
TlAg12Te6 after structural relaxation. Source: Alexandria, functional PBE.

Calculated values
Formation energy from raw total energies: 0.045 eV/atom
Density: 7.303 g/cm3

a = 12.0098 Å, b = 12.0098 Å, c = 12.3656 Å
α = 90.00°, β = 90.00°, γ = 120.00°
Space group R-3m (No. 166, hexagonal axes)
Asymmetric unit:
Tl1 0.0000 0.0000 0.0000
Ag1 0.0000 0.3745 0.5000
Ag2 0.0923 0.1846 0.3087
Te1 0.0416 0.5208 0.3031

5.
TlAg2Te after structural relaxation. Source: Alexandria, functional PBE.

Calculated values
Formation energy from raw total energies: 0.095 eV/atom
Density: 9.149 g/cm3
E above lowest polymorph: 67 meV/atom

a = 3.121 Å, b = 4.164 Å, c = 7.649 Å
α = 90.00°, β = 90.00°, γ = 90.00°
Space group Pmm2 (No. 25)
Asymmetric unit:
Tl1 0.000 0.000 0.000
Ag1 0.000 0.000 0.440
Ag2 0.500 0.500 0.258
Te1 0.500 0.500 0.664

6.
Tl2AgTe after structural relaxation. Source: Alexandria, functional PBE.

Calculated values
Formation energy from raw total energies: -0.024 eV/atom
Density: 9.433 g/cm3
E above lowest polymorph: 49 meV/atom

a = 4.677 Å, b = 4.733 Å, c = 5.123 Å
α = 90.00°, β = 90.00°, γ = 90.00°
Space group Pmmm (No. 47)
Asymmetric unit:
Tl1 0.000 0.000 0.000
Tl2 0.500 0.500 0.000
Ag1 0.000 0.500 0.500
Te1 0.500 0.000 0.500

7.
Tl2AgTe after structural relaxation. Source: Alexandria, functional PBE.

Calculated values
Formation energy from raw total energies: 0.030 eV/atom
Density: 9.337 g/cm3
E above lowest polymorph: 102 meV/atom

a = 7.167 Å, b = 9.829 Å, c = 3.253 Å
α = 90.00°, β = 90.00°, γ = 90.00°
Space group Cmmm (No. 65)
Asymmetric unit:
Tl1 0.250 0.250 0.000
Ag1 0.000 0.000 0.500
Te1 0.000 0.500 0.500

8.
TlAg2Te3 after structural relaxation. Source: Alexandria, functional PBE.

Calculated values
Formation energy from raw total energies: -0.070 eV/atom
Density: 6.440 g/cm3

a = 8.007 Å, b = 13.804 Å, c = 7.952 Å
α = 90.00°, β = 109.57°, γ = 90.00°
Space group Cc (No. 9)
Asymmetric unit:
Tl1 0.000 0.089 0.000
Ag1 0.485 0.082 0.484
Ag2 0.494 0.251 0.987
Te1 0.356 0.411 0.105
Te2 0.360 0.240 0.619
Te3 0.384 0.085 0.117

9.
Tl2AgTe after structural relaxation. Source: Alexandria, functional PBE.

Calculated values
Formation energy from raw total energies: 0.081 eV/atom
Density: 6.722 g/cm3
E above lowest polymorph: 153 meV/atom

a = 6.891 Å, b = 6.891 Å, c = 13.403 Å
α = 90.00°, β = 90.00°, γ = 90.00°
Space group I-42d (No. 122)
Asymmetric unit:
Tl1 0.222 0.250 0.125
Ag1 0.000 0.000 0.000
Te1 0.000 0.000 0.500

10.
Tl2AgTe after structural relaxation. Source: Alexandria, functional PBE.

Calculated values
Formation energy from raw total energies: 0.052 eV/atom
Density: 9.087 g/cm3
E above lowest polymorph: 125 meV/atom

a = 7.780 Å, b = 7.780 Å, c = 7.780 Å
α = 90.00°, β = 90.00°, γ = 90.00°
Space group Fm-3m (No. 225)
Asymmetric unit:
Tl1 0.250 0.250 0.250
Ag1 0.000 0.000 0.000
Te1 0.000 0.000 0.500

11.
Tm3Tl4AgTe8 after structural relaxation. Source: Alexandria, functional PBE.

Calculated values
Formation energy from raw total energies: -0.756 eV/atom
Density: 7.664 g/cm3

a = 8.8176 Å, b = 8.8176 Å, c = 23.6765 Å
α = 90.00°, β = 90.00°, γ = 120.00°
Space group R-3m (No. 166, hexagonal axes)
Asymmetric unit:
Tm1 0.0000 0.5000 0.0000
Tl1 0.0000 0.0000 0.5000
Tl2 0.0000 0.5000 0.5000
Ag1 0.0000 0.0000 0.0000
Te1 0.0000 0.0000 0.2615
Te2 0.9999 0.5000 0.2621

12.
Tm3TlAg2Te6 after structural relaxation. Source: Alexandria, functional PBE.

Calculated values
Formation energy from raw total energies: -0.890 eV/atom
Density: 6.334 g/cm3

a = 22.517 Å, b = 4.334 Å, c = 9.732 Å
α = 90.00°, β = 110.88°, γ = 90.00°
Space group C2/m (No. 12)
Asymmetric unit:
Tm1 0.000 0.000 0.000
Tm2 0.135 0.500 0.313
Tl1 0.000 0.000 0.500
Ag1 0.249 0.000 0.382
Te1 0.004 0.500 0.781
Te2 0.146 0.000 0.106
Te3 0.163 0.000 0.564